# 1
Computed, not measured: a relaxed structure of CsAs2S3 at the PBE-GGA level of DFT.

Computed properties:
Uncorrected energy in eV/atom: -4.064
DOS(E_F) in states/eV/cell: 3.2
Crystal system: orthorhombic

a b c (Å): 3.667 8.185 11.616
angles (deg): 90.00 90.00 90.00
Sites, in units of the cell vectors:
1 Cs 0.000 0.011 0.842
2 Cs 0.000 0.511 0.158
3 As 0.000 0.025 0.197
4 As 0.500 0.923 0.480
5 As 0.000 0.525 0.803
6 As 0.500 0.423 0.520
7 S 0.500 0.144 0.093
8 S 0.500 0.318 0.696
9 S 0.000 0.280 0.427
10 S 0.500 0.644 0.907
11 S 0.500 0.818 0.304
12 S 0.000 0.780 0.573

=====

# 2
Computed, not measured: a relaxed structure of Cs2AsS at the PBE-GGA level of DFT.

Computed properties:
E above lowest polymorph in eV per atom: 0.262
DOS(E_F) in states/eV/cell: 0.0
Crystal system: cubic

a b c (Å): 6.096 6.096 6.096
angles (deg): 60.00 60.00 60.00
Sites, in units of the cell vectors:
1 Cs 0.250 0.250 0.250
2 Cs 0.750 0.750 0.750
3 As 0.500 0.500 0.500
4 S 0.000 0.000 0.000

=====

# 3
Computed, not measured: a relaxed structure of Cs2SbAs2S6 at the PBE-GGA level of DFT.

Computed properties:
Uncorrected energy in eV/atom: -4.092
DOS(E_F) in states/eV/cell: 1.4
Crystal system: monoclinic

a b c (Å): 7.351 7.362 8.460
angles (deg): 115.32 90.00 119.95
Sites, in units of the cell vectors:
1 Cs 0.729 0.458 0.192
2 Cs 0.271 0.542 0.808
3 Sb 0.500 0.000 0.500
4 As 0.936 0.872 0.806
5 As 0.064 0.128 0.194
6 S 0.743 0.486 0.737
7 S 0.253 0.994 0.255
8 S 0.260 0.006 0.745
9 S 0.747 0.006 0.745
10 S 0.740 0.994 0.255
11 S 0.257 0.514 0.263

=====

# 4
Computed, not measured: a relaxed structure of Cs2SbAsS4 at the PBE-GGA level of DFT.

Computed properties:
Uncorrected energy in eV/atom: -3.816
Crystal system: orthorhombic

a b c (Å): 8.637 8.637 8.734
angles (deg): 120.37 120.37 90.03
Sites, in units of the cell vectors:
1 Cs 0.500 0.000 0.000
2 Cs 0.500 0.000 0.500
3 Cs 0.000 0.000 0.500
4 Cs 0.500 0.500 0.000
5 Sb 0.000 0.500 0.000
6 Sb 0.000 0.500 0.500
7 As 0.500 0.500 0.500
8 As 0.000 0.000 0.000
9 S 0.184 0.740 0.962
10 S 0.760 0.316 0.538
11 S 0.240 0.684 0.462
12 S 0.816 0.260 0.038
13 S 0.768 0.732 0.947
14 S 0.768 0.732 0.553
15 S 0.232 0.268 0.447
16 S 0.232 0.268 0.053

=====

# 5
Computed, not measured: a relaxed structure of Cs2ScAsS4 at the PBE-GGA level of DFT.

Computed properties:
Uncorrected energy in eV/atom: -4.731
DOS(E_F) in states/eV/cell: 0.0
Crystal system: orthorhombic

a b c (Å): 6.493 7.925 12.999
angles (deg): 84.13 75.54 65.82
Sites, in units of the cell vectors:
1 Cs 0.178 0.000 0.643
2 Cs 0.822 0.000 0.357
3 Cs 0.572 0.500 0.857
4 Cs 0.928 0.500 0.143
5 Sc 0.750 0.500 0.500
6 Sc 0.000 0.000 0.000
7 As 0.250 0.500 0.500
8 As 0.500 0.000 0.000
9 S 0.288 0.815 0.100
10 S 0.202 0.185 0.900
11 S 0.897 0.815 0.900
12 S 0.612 0.185 0.100
13 S 0.462 0.685 0.400
14 S 0.548 0.315 0.600
15 S 0.853 0.685 0.600
16 S 0.138 0.315 0.400

=====

# 6
Computed, not measured: a relaxed structure of Cs2ScAs2S6 at the PBE-GGA level of DFT.

Computed properties:
Uncorrected energy in eV/atom: -4.599
DOS(E_F) in states/eV/cell: 3.5
Crystal system: monoclinic

a b c (Å): 7.076 7.061 8.401
angles (deg): 113.71 90.00 120.07
Sites, in units of the cell vectors:
1 Cs 0.711 0.421 0.185
2 Cs 0.289 0.579 0.815
3 Sc 0.500 0.000 0.500
4 As 0.940 0.879 0.797
5 As 0.060 0.121 0.203
6 S 0.735 0.470 0.613
7 S 0.227 0.939 0.244
8 S 0.288 0.061 0.756
9 S 0.773 0.061 0.756
10 S 0.712 0.939 0.244
11 S 0.265 0.530 0.387

=====

Number 1: theoretical density 3.6 g cm⁻³. Number 2: theoretical density 3.9 g cm⁻³. Number 3: theoretical density 3.5 g cm⁻³. Number 4: theoretical density 4.3 g cm⁻³. Number 5: theoretical density 2.9 g cm⁻³. Number 6: theoretical density 3.4 g cm⁻³.